[1]
# Ac2Si3SnPt4

Crystalline Ac2Si3SnPt4 at its relaxed geometry (GGA-PBE, the Alexandria database).

Results
Raw total energy = -6.247 eV/atom
ΔE_f (raw) = -0.98 eV per atom

```
10
Lattice="4.4668 0.0000 0.0000 0.0000 4.4668 0.0000 0.0000 0.0000 10.2622" Properties=species:S:1:pos:R:3 pbc="T T T"
Ac 0.0000 2.2334 2.4940
Ac 2.2334 0.0000 7.7682
Si 0.0000 2.2334 9.0504
Si 2.2334 0.0000 1.2118
Si 2.2334 2.2334 5.1311
Sn 0.0000 0.0000 5.1311
Pt 0.0000 0.0000 0.0000
Pt 0.0000 2.2334 6.5904
Pt 2.2334 0.0000 3.6719
Pt 2.2334 2.2334 0.0000
```


[2]
# Ac3Si2SnPt9

Crystalline Ac3Si2SnPt9 at its relaxed geometry (GGA-PBE, the Alexandria database).

Results
Raw total energy = -6.163 eV/atom
ΔE_f (raw) = -0.73 eV per atom

```
15
Lattice="7.3882 0.0000 0.0000 -3.6941 6.3984 0.0000 0.0000 0.0000 7.0959" Properties=species:S:1:pos:R:3 pbc="T T T"
Ac 0.0000 0.0000 0.0000
Ac 0.0000 4.2656 4.6773
Ac 3.6941 2.1328 2.4186
Si 0.0000 4.2656 0.9662
Si 3.6941 2.1328 6.1297
Sn 0.0000 0.0000 3.5479
Pt -1.8470 3.1992 0.0000
Pt 0.0000 2.2893 2.2365
Pt -1.7115 5.2537 2.2365
Pt 1.9826 1.1447 4.8594
Pt 3.6941 0.0000 0.0000
Pt 1.8470 3.1992 0.0000
Pt 1.7115 5.2537 2.2365
Pt 5.4056 1.1447 4.8594
Pt 3.6941 4.1091 4.8594
```


[3]
# Ac2Si4SnPt3

Crystalline Ac2Si4SnPt3 at its relaxed geometry (GGA-PBE, the Alexandria database).

Results
Raw total energy = -6.084 eV/atom
ΔE_f (raw) = -0.88 eV per atom

```
10
Lattice="4.4234 0.0000 0.0000 0.0000 4.4234 0.0000 0.0000 0.0000 10.3472" Properties=species:S:1:pos:R:3 pbc="T T T"
Ac 0.0000 2.2117 2.4680
Ac 2.2117 0.0000 7.8792
Si 0.0000 0.0000 0.0000
Si 0.0000 2.2117 6.7223
Si 2.2117 0.0000 3.6249
Si 2.2117 2.2117 0.0000
Sn 0.0000 0.0000 5.1736
Pt 0.0000 2.2117 9.1859
Pt 2.2117 0.0000 1.1612
Pt 2.2117 2.2117 5.1736
```


[4]
# Ac3Si2Sn2Pt4

Crystalline Ac3Si2Sn2Pt4 at its relaxed geometry (GGA-PBE, the Alexandria database).

Results
Raw total energy = -5.949 eV/atom
ΔE_f (raw) = -0.92 eV per atom

```
11
Lattice="4.4091 0.0000 0.0000 -2.2046 3.8184 0.0000 0.0000 0.0000 16.3380" Properties=species:S:1:pos:R:3 pbc="T T T"
Ac 0.0000 0.0000 0.0000
Ac 0.0000 0.0000 4.3640
Ac 0.0000 0.0000 11.9739
Si 0.0000 2.5456 2.1951
Si 2.2046 1.2728 14.1429
Sn 0.0000 2.5456 9.2182
Sn 2.2046 1.2728 7.1198
Pt 0.0000 2.5456 6.3978
Pt 0.0000 2.5456 14.1280
Pt 2.2046 1.2728 2.2100
Pt 2.2046 1.2728 9.9401
```


Number 1 is which compound?
Ac2Si3SnPt4